Computed, not measured: a relaxed structure of LiYPd14 at the PBE level of DFT.

Geometry as POSCAR:
```
LiYPd14
1.0
5.640 -0.012 0.000
0.012 5.640 0.000
0.000 0.000 7.977
Pd Y Li
14 1 1
Direct
0.621 0.621 0.247
0.375 0.375 0.000
0.622 0.128 0.247
0.375 0.875 0.000
0.875 0.875 0.000
0.129 0.129 0.753
0.875 0.375 0.000
0.128 0.622 0.753
0.875 0.375 0.500
0.129 0.129 0.247
0.621 0.621 0.753
0.128 0.622 0.247
0.375 0.875 0.500
0.622 0.128 0.753
0.875 0.875 0.500
0.375 0.375 0.500
```

symmetry	P4/mmm, No. 123
theoretical density	10.38	Mg/m³
formation enthalpy at 0 K	-0.24	eV per atom
total magnetization	0.0	μB per cell

Computed, not measured: a relaxed structure of Li3YPd at the PBE level of DFT.

Geometry as POSCAR:
```
Li3YPd
1.0
-1.310 4.073 -2.818
-3.080 -2.952 -2.836
-3.878 0.969 3.204
Li Y Pd
3 1 1
Direct
0.000 0.000 0.500
0.500 0.000 0.000
0.000 0.500 0.000
0.000 0.000 0.000
0.500 0.500 0.500
```

symmetry	Pm-3m, No. 221
theoretical density	2.67	Mg/m³
formation enthalpy at 0 K	1.28	eV per atom
total magnetization	1.2	μB per cell

Computed, not measured: a relaxed structure of LiYPd2 at the PBE level of DFT.

Geometry as POSCAR:
```
LiYPd2
1.0
-1.727 -1.276 -4.193
1.990 -3.538 -2.389
-2.271 -4.101 -0.463
Li Pd Y
1 2 1
Direct
0.250 0.250 0.250
0.500 0.500 0.500
0.000 0.000 0.000
0.750 0.750 0.750
```

symmetry	Fm-3m, No. 225
theoretical density	6.94	Mg/m³
formation enthalpy at 0 K	-0.67	eV per atom
total magnetization	0.0	μB per cell

Computed, not measured: a relaxed structure of LiYPd at the PBE level of DFT.

Geometry as POSCAR:
```
LiYPd
1.0
4.085 0.000 0.000
0.000 6.229 -3.596
0.000 0.000 7.192
Li Y Pd
3 3 3
Direct
0.000 0.766 0.766
0.000 0.000 0.234
0.000 0.234 0.000
0.500 0.000 0.588
0.500 0.588 0.000
0.500 0.412 0.412
0.000 0.667 0.333
0.000 0.333 0.667
0.500 0.000 0.000
```

symmetry	P-62m, No. 189
theoretical density	5.51	Mg/m³
formation enthalpy at 0 K	-0.59	eV per atom
total magnetization	0.0	μB per cell

What are the raw total energy values for these records? In order: -5.311; -2.203; -5.363; -5.117 eV/atom.